First-principles (PBE) data for crystalline Ca2ZnCoN at its relaxed geometry, as listed in Alexandria via LeMat-Bulk.

Summary:
The energy is -23.05 eV for the cell shown.

Structure (CIF):
```
data_Ca2ZnCoN
_chemical_formula_sum 'Ca2 Zn1 Co1 N1'
_space_group_name_H-M_alt 'P 1'
_space_group_IT_number 1
_cell_length_a 5.045
_cell_length_b 5.045
_cell_length_c 3.556
_cell_angle_alpha 90.00
_cell_angle_beta 90.00
_cell_angle_gamma 90.00
loop_
_space_group_symop_operation_xyz
'x,y,z'
loop_
_atom_site_label
_atom_site_type_symbol
_atom_site_fract_x
_atom_site_fract_y
_atom_site_fract_z
Ca1 Ca 0.000 0.500 0.000
Ca2 Ca 0.500 0.000 0.000
Zn1 Zn 0.000 0.000 0.500
Co1 Co 0.500 0.500 0.500
N1 N 0.500 0.500 0.000
```